Computed, not measured: Ce4AlGa after structural relaxation at the GGA-PBE level of DFT.

Lattice parameters (Å, degrees): 5.683 6.488 9.202 90.00 122.45 90.00
Each line ends with the local moment (μB).
Positions (direct):
Ce 0.486 0.982 0.651  0.20
Ce 0.514 0.482 0.349  0.20
Ce 0.514 0.018 0.349  0.20
Ce 0.486 0.518 0.651  0.20
Ce 0.018 0.250 0.699  0.16
Ce 0.982 0.750 0.301  0.16
Ce 0.992 0.250 0.001  0.06
Ce 0.008 0.750 0.999  0.06
Al 0.500 0.500 0.000  0.00
Al 0.500 0.000 0.000  0.00
Ga 0.995 0.750 0.657  0.00
Ga 0.005 0.250 0.343  0.00

Output
The calculation puts the theoretical density at 7.62 g/cm3. Its space group is P2_1/m. The total DFT energy (no corrections) is -5.298 eV/atom. Its energy relative to the lowest polymorph listed for this composition is 34 meV per atom.

***

Computed, not measured: MnAlCd2 after structural relaxation at the GGA-PBE level of DFT.

Lattice parameters (Å, degrees): 2.948 2.948 8.268 90.00 90.00 90.00
Each line ends with the local moment (μB).
Positions (direct):
Mn 0.000 0.000 0.524  3.00
Al 0.500 0.500 0.713  -0.04
Cd 0.000 0.000 0.984  0.01
Cd 0.500 0.500 0.280  -0.03

Output
The calculation puts the theoretical density at 7.09 g/cm3. Its space group is P4mm. The total DFT energy (no corrections) is -3.608 eV/atom.

***

Computed, not measured: NaSm after structural relaxation at the GGA-PBE level of DFT.

Lattice parameters (Å, degrees): 3.633 3.633 12.255 90.00 90.00 120.00
Positions (direct):
Na 0.667 0.333 0.871
Na 0.333 0.667 0.129
Sm 0.667 0.333 0.384
Sm 0.333 0.667 0.616

Output
The calculation puts the theoretical density at 4.11 g/cm3. Its space group is P-3m1. The total DFT energy (no corrections) is -2.938 eV/atom.

***

Computed, not measured: FeCoAg2 after structural relaxation at the GGA-PBE level of DFT.

Lattice parameters (Å, degrees): 4.866 4.866 4.730 80.60 80.60 32.48
Each line ends with the local moment (μB).
Positions (direct):
Ag 0.002 0.002 0.999  -0.01
Ag 0.498 0.498 0.501  -0.01
Co 0.750 0.750 0.750  1.68
Fe 0.250 0.250 0.250  2.89

Output
The calculation puts the theoretical density at 9.26 g/cm3. Its space group is C2/m. The total DFT energy (no corrections) is -4.899 eV/atom.

***

Computed, not measured: Cd2SiHg after structural relaxation at the GGA-PBE level of DFT.

Lattice parameters (Å, degrees): 6.006 6.006 8.411 69.08 69.08 90.00
Positions (direct):
Si 0.500 0.500 0.000
Si 0.250 0.750 0.500
Hg 0.000 0.000 0.000
Hg 0.750 0.250 0.500
Cd 0.531 0.125 0.250
Cd 0.219 0.625 0.250
Cd 0.375 0.469 0.750
Cd 0.875 0.781 0.750

Output
The calculation puts the theoretical density at 5.75 g/cm3. Its space group is I-42d. The total DFT energy (no corrections) is -1.551 eV/atom. Its energy relative to the lowest polymorph listed for this composition is 91 meV per atom. The value obtained for the formation energy (no corrections) is 1.35 eV/f.u.

***

Computed, not measured: SiPS2Cl after structural relaxation at the GGA-PBE level of DFT.

Lattice parameters (Å, degrees): 4.627 4.627 4.571 90.00 90.00 90.00
Positions (direct):
P 0.000 0.000 0.000
S 0.000 0.500 0.000
S 0.500 0.000 0.000
Si 0.500 0.500 0.500
Cl 0.000 0.000 0.500

Output
The calculation puts the theoretical density at 2.69 g/cm3. Its space group is P4/mmm. The total DFT energy (no corrections) is -3.709 eV/atom. Its energy relative to the lowest polymorph listed for this composition is 0 meV per atom. The value obtained for the formation energy (no corrections) is 2.39 eV/f.u.

***

Record-wise volume values, in Å³ per atom: 23.857, 17.963, 35.012, 14.817, 32.735, 19.573